Density functional theory data (PBE) for crystalline Te2RuS at its relaxed geometry.

Cell: 9.5006 9.5006 9.5006 Å, 20.11 20.11 20.11°
Atoms (fractional coordinates):
Ru 0.0000 0.0000 0.0000
S 0.5000 0.5000 0.5000
Te 0.9093 0.9093 0.9093
Te 0.0907 0.0907 0.0907

Values from the calculation:
Raw formation energy: 0.806 eV/atom
Crystal system: trigonal
VASP energy: -16.5 eV/cell
Symmetry: R-3m, No. 166

=====

Density functional theory data (PBE) for crystalline PaSbPbAu at its relaxed geometry.

Cell: 5.2415 5.2415 5.2415 Å, 60.00 60.00 60.00°
Atoms (fractional coordinates):
Pb 0.5000 0.5000 0.5000
Sb 0.7500 0.7500 0.7500
Pa 0.0000 0.0000 0.0000
Au 0.2500 0.2500 0.2500

Values from the calculation:
Raw formation energy: -0.155 eV/atom
Crystal system: cubic
VASP energy: -21.2 eV/cell
Symmetry: F-43m, No. 216

=====

Density functional theory data (PBE) for crystalline Nb2IrRu2 at its relaxed geometry.

Cell: 5.1402 5.6884 6.9082 Å, 114.31 111.84 90.00°
Atoms (fractional coordinates):
Nb 0.3219 0.5248 0.6438
Nb 0.6781 0.4752 0.3562
Nb 0.1781 0.8811 0.3562
Nb 0.8219 0.1189 0.6438
Ir 0.7500 0.5000 0.0000
Ir 0.2500 0.5000 0.0000
Ru 0.8966 0.7497 0.7932
Ru 0.1034 0.2503 0.2068
Ru 0.6034 0.9566 0.2068
Ru 0.3966 0.0434 0.7932

Values from the calculation:
Polymorph energy (0 for the lowest one): 0.0 meV per atom
Crystal system: orthorhombic
VASP energy: -96.1 eV/cell
Symmetry: Ibam, No. 72